Record 1
VASP calculation (meta-GGA SCAN) on a PBEsol-optimized structure of CsP2H.

Cell and atoms, written as POSCAR:
```
CsP2H
1.0
6.0353 0.0000 0.0000
3.0176 5.2267 0.0000
3.0176 1.7422 4.9278
H P Cs
2 4 2
Cartesian
3.0176 1.7422 1.2319 H
0.0000 0.0000 0.0000 H
3.0176 1.7422 3.0799 P
4.5265 0.8711 0.6160 P
1.5088 0.8711 0.6160 P
3.0176 3.4845 0.6160 P
9.0529 5.2267 3.6958 Cs
6.0353 3.4845 2.4639 Cs
```

---

Record 2
VASP calculation (meta-GGA SCAN) on a PBEsol-optimized structure of CsPH3.

Cell and atoms, written as POSCAR:
```
CsPH3
1.0
-1.2579 -1.1168 3.5607
-0.7952 -3.5911 -1.4072
3.6461 -1.1685 0.9216
H P Cs
3 1 1
Cartesian
1.8230 -0.5843 0.4608 H
-0.6290 -0.5584 1.7804 H
-0.3976 -1.7955 -0.7036 H
0.0000 0.0000 0.0000 P
0.7965 -2.9382 1.5375 Cs
```

---

We obtain final energy values of -15.09 -11.49 eV/atom for the records listed above, in that order.